[1]
# CsNaGeBr2 | the Alexandria database | PBE | relaxed
data_CsNaGeBr2
_chemical_formula_sum 'Cs1 Na1 Ge1 Br2'
_symmetry_space_group_name_H-M 'P 1'
_symmetry_Int_Tables_number 1
_cell_length_a 6.544
_cell_length_b 6.544
_cell_length_c 6.664
_cell_angle_alpha 90.00
_cell_angle_beta 90.00
_cell_angle_gamma 90.00
loop_
_symmetry_equiv_pos_as_xyz
'x,y,z'
loop_
_atom_site_label
_atom_site_type_symbol
_atom_site_fract_x
_atom_site_fract_y
_atom_site_fract_z
Cs1 Cs 0.000 0.000 0.000
Na1 Na 0.000 0.000 0.500
Ge1 Ge 0.500 0.500 0.500
Br1 Br 0.000 0.500 0.000
Br2 Br 0.500 0.000 0.000
# SG = P4/mmm, No. 123
# ΔE_f (raw) = -0.001 eV/atom
# Total energy = -2.029 eV per atom

***

[2]
# CsNpGe2Br8 | the Alexandria database | PBE | relaxed
data_CsNpGe2Br8
_chemical_formula_sum 'Cs1 Np1 Ge2 Br8'
_symmetry_space_group_name_H-M 'P 1'
_symmetry_Int_Tables_number 1
_cell_length_a 10.398
_cell_length_b 10.398
_cell_length_c 10.398
_cell_angle_alpha 42.66
_cell_angle_beta 42.66
_cell_angle_gamma 42.66
loop_
_symmetry_equiv_pos_as_xyz
'x,y,z'
loop_
_atom_site_label
_atom_site_type_symbol
_atom_site_fract_x
_atom_site_fract_y
_atom_site_fract_z
Cs1 Cs 0.000 0.000 0.000
Np1 Np 0.500 0.500 0.500
Ge1 Ge 0.225 0.225 0.225
Ge2 Ge 0.775 0.775 0.775
Br1 Br 0.149 0.402 0.779
Br2 Br 0.221 0.851 0.598
Br3 Br 0.311 0.311 0.311
Br4 Br 0.402 0.779 0.149
Br5 Br 0.598 0.221 0.851
Br6 Br 0.689 0.689 0.689
Br7 Br 0.779 0.149 0.402
Br8 Br 0.851 0.598 0.221
# SG = R-3, No. 148
# ΔE_f (raw) = -1.003 eV/atom
# Total energy = -4.037 eV per atom

***

[3]
# Cs2GeBr6O | the Alexandria database | PBE | relaxed
data_Cs2GeBr6O
_chemical_formula_sum 'Cs2 Ge1 Br6 O1'
_symmetry_space_group_name_H-M 'P 1'
_symmetry_Int_Tables_number 1
_cell_length_a 7.706
_cell_length_b 7.706
_cell_length_c 7.706
_cell_angle_alpha 120.93
_cell_angle_beta 120.93
_cell_angle_gamma 88.40
loop_
_symmetry_equiv_pos_as_xyz
'x,y,z'
loop_
_atom_site_label
_atom_site_type_symbol
_atom_site_fract_x
_atom_site_fract_y
_atom_site_fract_z
Cs1 Cs 0.250 0.750 0.500
Cs2 Cs 0.750 0.250 0.500
Ge1 Ge 0.000 0.000 0.000
Br1 Br 0.230 0.230 0.000
Br2 Br 0.240 0.240 0.480
Br3 Br 0.240 0.760 0.000
Br4 Br 0.760 0.240 0.000
Br5 Br 0.760 0.760 0.520
Br6 Br 0.770 0.770 0.000
O1 O 0.500 0.500 0.000
# SG = I4/mmm, No. 139
# ΔE_f (raw) = -0.745 eV/atom
# Total energy = -2.877 eV per atom